Entry 1:
Here is a relaxed structure of ZrWBr2 from Alexandria via LeMat-Bulk. Energies are from PBE.

Output
DOS(E_F)   0.249 states/eV/atom
E   -6.28 eV/atom
Formation energy (no corrections)   -0.0682 eV per atom
E above lowest polymorph   0.0000 eV/atom

Cell lengths 3.905, 3.353, 8.226 Å; angles 90.00, 102.10, 90.00 degrees
Fractional positions:
Zr (0.000, 0.000, 0.000)
W (0.554, 0.500, 0.144)
Br (0.353, 0.500, 0.800)
Br (0.673, 0.000, 0.392)


Entry 2:
Here is a relaxed structure of NdSmPtPb from Alexandria via LeMat-Bulk. Energies are from PBE.

Output
DOS(E_F)   0.355 states/eV/atom
E   -5.49 eV/atom
Energy of formation   -0.69 eV per atom

Cell lengths 5.322, 5.322, 5.322 Å; angles 60.00, 60.00, 60.00 degrees
Fractional positions:
Nd (0.000, 0.000, 0.000)
Sm (0.500, 0.500, 0.500)
Pt (0.750, 0.750, 0.750)
Pb (0.250, 0.250, 0.250)


Entry 3:
Here is a relaxed structure of KZrRh from Alexandria via LeMat-Bulk. Energies are from PBE.

Output
DOS(E_F)   1.486 states/eV/atom
E   -5.62 eV/atom
E above lowest polymorph   0.0000 eV/atom
Energy of formation   0.05 eV per atom

Cell lengths 7.759, 7.759, 7.759 Å; angles 155.14, 155.14, 35.44 degrees
Fractional positions:
K (0.000, 0.000, 0.000)
Zr (0.259, 0.259, 0.000)
Rh (0.675, 0.675, 0.000)


Entry 4:
Here is a relaxed structure of Cd4HgSe from Alexandria via LeMat-Bulk. Energies are from PBE.

Output
DOS(E_F)   0.688 states/eV/atom
E   -1.12 eV/atom
Formation energy (no corrections)   0.1223 eV per atom

Cell lengths 5.907, 5.907, 5.907 Å; angles 60.00, 60.00, 60.00 degrees
Fractional positions:
Cd (0.125, 0.125, 0.125)
Cd (0.125, 0.125, 0.625)
Cd (0.125, 0.625, 0.125)
Cd (0.625, 0.125, 0.125)
Hg (0.750, 0.750, 0.750)
Se (0.500, 0.500, 0.500)